[1]
A plane-wave DFT calculation with GGA-PBE was carried out for Li2Ac3Te6 after structural relaxation.

Unit cell a=5.236 b=5.236 c=13.818 alpha=100.92 beta=100.92 gamma=90.00
Sites, in units of the cell vectors:
Li 0.393 0.393 0.786
Li 0.607 0.607 0.214
Ac 0.000 0.000 0.000
Ac 0.830 0.830 0.661
Ac 0.170 0.170 0.339
Te 0.081 0.581 0.162
Te 0.581 0.081 0.162
Te 0.919 0.419 0.838
Te 0.419 0.919 0.838
Te 0.707 0.707 0.413
Te 0.293 0.293 0.587

## Properties
E_form (uncorrected) in kJ/mol of atoms: -119.9
Space group: No. 139
DOS at the Fermi energy in states/eV/cell: 1.64
Spin magnetization in μB per formula unit: 0.00
Volume in Å³ per cell: 364.9
Energy in eV per formula unit: -48.7

***

[2]
A plane-wave DFT calculation with GGA-PBE was carried out for MnIBr3 after structural relaxation.

Unit cell a=5.242 b=5.242 c=5.242 alpha=90.00 beta=90.00 gamma=90.00
Sites, in units of the cell vectors:
I 0.500 0.500 0.500
Mn 0.000 0.000 0.000
Br 0.000 0.500 0.000
Br 0.000 0.000 0.500
Br 0.500 0.000 0.000

## Properties
ΔE to the lowest computed polymorph in eV per atom: 0.310
E_form (uncorrected) in kJ/mol of atoms: -17.6
Space group: No. 221
DOS at the Fermi energy in states/eV/cell: 3.33
Spin magnetization in μB per formula unit: 3.00
Volume in Å³ per cell: 144.1
Energy in eV per formula unit: -16.6

***

[3]
A plane-wave DFT calculation with GGA-PBE was carried out for HfCr2Co2 after structural relaxation.

Unit cell a=7.104 b=7.104 c=2.575 alpha=90.00 beta=90.00 gamma=90.00
Sites, in units of the cell vectors:
Co 0.176 0.676 0.500
Co 0.676 0.824 0.500
Co 0.824 0.324 0.500
Co 0.324 0.176 0.500
Hf 0.000 0.000 0.000
Hf 0.500 0.500 0.000
Cr 0.385 0.885 0.000
Cr 0.885 0.615 0.000
Cr 0.615 0.115 0.000
Cr 0.115 0.385 0.000

## Properties
E_form in eV/atom: 0.134
ΔE to the lowest computed polymorph in eV per atom: 0.026
Space group: No. 127
DOS at the Fermi energy in states/eV/cell: 13.64
Spin magnetization in μB per formula unit: 0.00
Volume in Å³ per cell: 129.9
Energy in eV per formula unit: -42.7

***

[4]
A plane-wave DFT calculation with GGA-PBE was carried out for Al2Ga12Ag5 after structural relaxation.

Unit cell a=7.514 b=7.028 c=8.483 alpha=96.51 beta=90.00 gamma=122.32
Sites, in units of the cell vectors:
Al 0.697 0.000 0.000
Al 0.303 0.000 0.000
Ga 0.066 0.131 0.185
Ga 0.094 0.567 0.851
Ga 0.474 0.567 0.851
Ga 0.188 0.768 0.419
Ga 0.580 0.768 0.419
Ga 0.459 0.918 0.715
Ga 0.541 0.082 0.285
Ga 0.812 0.232 0.581
Ga 0.420 0.232 0.581
Ga 0.906 0.433 0.149
Ga 0.526 0.433 0.149
Ga 0.934 0.869 0.815
Ag 0.239 0.478 0.572
Ag 0.320 0.641 0.132
Ag 0.000 0.000 0.500
Ag 0.680 0.359 0.868
Ag 0.761 0.522 0.428

## Properties
E_form in eV/atom: 0.070
Space group: No. 12
DOS at the Fermi energy in states/eV/cell: 6.54
Spin magnetization in μB per formula unit: 0.00
Volume in Å³ per cell: 375.2
Energy in eV per formula unit: -56.7

***

[5]
A plane-wave DFT calculation with GGA-PBE was carried out for HoFeSi3Tc after structural relaxation.

Unit cell a=5.425 b=7.453 c=6.459 alpha=125.24 beta=90.00 gamma=90.00
Sites, in units of the cell vectors:
Ho 0.750 0.246 0.493
Ho 0.250 0.754 0.507
Fe 0.250 0.034 0.068
Fe 0.750 0.966 0.932
Si 0.250 0.232 0.464
Si 0.000 0.241 0.000
Si 0.500 0.759 0.000
Si 0.500 0.241 0.000
Si 0.000 0.759 0.000
Si 0.750 0.768 0.536
Tc 0.250 0.444 0.888
Tc 0.750 0.556 0.112

## Properties
E_form (uncorrected) in kJ/mol of atoms: -31.4
Space group: No. 63
DOS at the Fermi energy in states/eV/cell: 5.43
Spin magnetization in μB per formula unit: 0.00
Volume in Å³ per cell: 213.3
Energy in eV per formula unit: -41.6

***

[6]
A plane-wave DFT calculation with GGA-PBE was carried out for Sm8Pt3Se4S after structural relaxation.

Unit cell a=8.217 b=8.520 c=8.217 alpha=118.83 beta=120.00 gamma=90.00
Sites, in units of the cell vectors:
Sm 0.247 0.737 0.990
Sm 0.247 0.737 0.494
Sm 0.257 0.270 0.513
Sm 0.743 0.737 0.990
Sm 0.257 0.263 0.010
Sm 0.743 0.730 0.487
Sm 0.753 0.263 0.506
Sm 0.753 0.263 0.010
Pt 0.500 0.500 0.000
Pt 0.500 0.500 0.500
Pt 0.000 0.500 0.500
Se 0.500 0.000 0.000
Se 0.500 0.000 0.500
Se 0.000 0.000 0.000
Se 0.000 0.000 0.500
S 0.000 0.500 0.000

## Properties
E_form (uncorrected) in kJ/mol of atoms: -150.8
Space group: No. 166
DOS at the Fermi energy in states/eV/cell: 11.43
Spin magnetization in μB per formula unit: 0.00
Volume in Å³ per cell: 413.8
Energy in eV per formula unit: -99.0